# Tm6GaRh PBE-GGA optimized geometry
data_Tm6GaRh
_space_group_name_H-M_alt 'C 1 2/m 1'
_space_group_IT_number 12
_space_group_name_Hall '-C 2y'
_cell_length_a 6.645
_cell_length_b 11.291
_cell_length_c 6.589
_cell_angle_alpha 90.00
_cell_angle_beta 113.85
_cell_angle_gamma 90.00
loop_
_atom_site_label
_atom_site_type_symbol
_atom_site_fract_x
_atom_site_fract_y
_atom_site_fract_z
Tm1 Tm 0.239 0.000 0.262
Tm2 Tm 0.240 0.190 0.746
Ga1 Ga 0.000 0.500 0.000
Rh1 Rh 0.000 0.000 0.500
# * energy of formation from the pure elements: -0.205 eV per atom


# Li4Sm9Cd11 PBE-GGA optimized geometry
data_Li4Sm9Cd11
_space_group_name_H-M_alt 'C m m m'
_space_group_IT_number 65
_space_group_name_Hall '-C 2 2'
_cell_length_a 15.995
_cell_length_b 22.056
_cell_length_c 3.419
_cell_angle_alpha 90.00
_cell_angle_beta 90.00
_cell_angle_gamma 90.00
loop_
_atom_site_label
_atom_site_type_symbol
_atom_site_fract_x
_atom_site_fract_y
_atom_site_fract_z
Li1 Li 0.144 0.101 0.000
Sm1 Sm 0.000 0.000 0.000
Sm2 Sm 0.109 0.250 0.000
Sm3 Sm 0.145 0.424 0.000
Cd1 Cd 0.000 0.140 0.500
Cd2 Cd 0.000 0.352 0.500
Cd3 Cd 0.000 0.500 0.500
Cd4 Cd 0.198 0.000 0.500
Cd5 Cd 0.249 0.176 0.500
# * energy of formation from the pure elements: -0.231 eV per atom


DFT (PBE-GGA) results for a relaxed structure of CeFe5H11.

```
data_CeFe5H11
_space_group_name_H-M_alt 'C 1 2/m 1'
_space_group_IT_number 12
_space_group_name_Hall '-C 2y'
_cell_length_a 8.037
_cell_length_b 7.733
_cell_length_c 4.629
_cell_angle_alpha 90.00
_cell_angle_beta 120.70
_cell_angle_gamma 90.00
loop_
_atom_site_label
_atom_site_type_symbol
_atom_site_fract_x
_atom_site_fract_y
_atom_site_fract_z
Ce1 Ce 0.000 0.000 0.000
Fe1 Fe 0.000 0.500 0.000
Fe2 Fe 0.200 0.178 0.696
H1 H 0.000 0.000 0.500
H2 H 0.098 0.263 0.308
H3 H 0.193 0.367 0.890
H4 H 0.227 0.500 0.423
```


# PmEr2In2 PBE-GGA optimized geometry
data_PmEr2In2
_space_group_name_H-M_alt 'C m c m'
_space_group_IT_number 63
_space_group_name_Hall '-C 2c 2'
_cell_length_a 4.350
_cell_length_b 25.728
_cell_length_c 4.975
_cell_angle_alpha 90.00
_cell_angle_beta 90.00
_cell_angle_gamma 90.00
loop_
_atom_site_label
_atom_site_type_symbol
_atom_site_fract_x
_atom_site_fract_y
_atom_site_fract_z
Pm1 Pm 0.000 0.144 0.250
Er1 Er 0.000 0.049 0.750
Er2 Er 0.000 0.240 0.750
In1 In 0.000 0.349 0.250
In2 In 0.000 0.455 0.750
# * energy of formation from the pure elements: -0.361 eV per atom


# Ce8Te4As3P PBE-GGA optimized geometry
data_Ce8Te4As3P
_space_group_name_H-M_alt 'R -3 m'
_space_group_IT_number 166
_space_group_name_Hall '-R 3 2"'
_cell_length_a 8.6016
_cell_length_b 8.6016
_cell_length_c 21.7238
_cell_angle_alpha 90.00
_cell_angle_beta 90.00
_cell_angle_gamma 120.00
loop_
_atom_site_label
_atom_site_type_symbol
_atom_site_fract_x
_atom_site_fract_y
_atom_site_fract_z
Ce1 Ce 0.0000 0.0000 0.2416
Ce2 Ce 0.0059 0.5029 0.2404
Te1 Te 0.0000 0.0000 0.0000
Te2 Te 0.0000 0.5000 0.0000
As1 As 0.0000 0.5000 0.5000
P1 P 0.0000 0.0000 0.5000
# * uncorrected formation energy: -1.431 eV per atom


# ScRu2 PBE-GGA optimized geometry
data_ScRu2
_space_group_name_H-M_alt 'I 4/m m m'
_space_group_IT_number 139
_space_group_name_Hall '-I 4 2'
_cell_length_a 2.844
_cell_length_b 2.844
_cell_length_c 11.926
_cell_angle_alpha 90.00
_cell_angle_beta 90.00
_cell_angle_gamma 90.00
loop_
_atom_site_label
_atom_site_type_symbol
_atom_site_fract_x
_atom_site_fract_y
_atom_site_fract_z
Sc1 Sc 0.000 0.000 0.000
Ru1 Ru 0.000 0.000 0.319
# * energy of formation from the pure elements: -0.155 eV per atom


# La3NdCdRu PBE-GGA optimized geometry
data_La3NdCdRu
_space_group_name_H-M_alt 'C 1 2/m 1'
_space_group_IT_number 12
_space_group_name_Hall '-C 2y'
_cell_length_a 16.562
_cell_length_b 7.669
_cell_length_c 6.196
_cell_angle_alpha 90.00
_cell_angle_beta 111.43
_cell_angle_gamma 90.00
loop_
_atom_site_label
_atom_site_type_symbol
_atom_site_fract_x
_atom_site_fract_y
_atom_site_fract_z
La1 La 0.119 0.246 0.116
La2 La 0.180 0.000 0.675
Nd1 Nd 0.000 0.298 0.500
Cd1 Cd 0.194 0.500 0.696
Ru1 Ru 0.000 0.000 0.240
# * energy of formation from the pure elements: -0.215 eV per atom


# Be2AlRe PBE-GGA optimized geometry
data_Be2AlRe
_space_group_name_H-M_alt 'C 1 2/m 1'
_space_group_IT_number 12
_space_group_name_Hall '-C 2y'
_cell_length_a 5.077
_cell_length_b 7.993
_cell_length_c 2.587
_cell_angle_alpha 90.00
_cell_angle_beta 112.91
_cell_angle_gamma 90.00
loop_
_atom_site_label
_atom_site_type_symbol
_atom_site_fract_x
_atom_site_fract_y
_atom_site_fract_z
Be1 Be 0.250 0.250 0.000
Al1 Al 0.000 0.000 0.500
Re1 Re 0.000 0.500 0.500
# * energy of formation from the pure elements: 0.085 eV per atom


# TcBiPCl2 PBE-GGA optimized geometry
data_TcBiPCl2
_space_group_name_H-M_alt 'P 4/m m m'
_space_group_IT_number 123
_space_group_name_Hall '-P 4 2'
_cell_length_a 5.299
_cell_length_b 5.299
_cell_length_c 5.495
_cell_angle_alpha 90.00
_cell_angle_beta 90.00
_cell_angle_gamma 90.00
loop_
_atom_site_label
_atom_site_type_symbol
_atom_site_fract_x
_atom_site_fract_y
_atom_site_fract_z
Tc1 Tc 0.000 0.000 0.000
Bi1 Bi 0.500 0.500 0.500
P1 P 0.500 0.500 0.000
Cl1 Cl 0.000 0.500 0.500
# * uncorrected formation energy: 0.906 eV per atom


# CeNd2TmAs4 PBE-GGA optimized geometry
data_CeNd2TmAs4
_space_group_name_H-M_alt 'P 1 2/m 1'
_space_group_IT_number 10
_space_group_name_Hall '-P 2y'
_cell_length_a 7.269
_cell_length_b 4.206
_cell_length_c 7.290
_cell_angle_alpha 90.00
_cell_angle_beta 109.40
_cell_angle_gamma 90.00
loop_
_atom_site_label
_atom_site_type_symbol
_atom_site_fract_x
_atom_site_fract_y
_atom_site_fract_z
Ce1 Ce 0.000 0.000 0.000
Nd1 Nd 0.000 0.500 0.500
Nd2 Nd 0.500 0.000 0.500
Tm1 Tm 0.500 0.500 0.000
As1 As 0.250 0.500 0.241
As2 As 0.256 0.000 0.761
# * energy of formation from the pure elements: -1.485 eV per atom


# ErPuRe4 PBE-GGA optimized geometry
data_ErPuRe4
_space_group_name_H-M_alt 'F -4 3 m'
_space_group_IT_number 216
_space_group_name_Hall 'F -4 2 3'
_cell_length_a 7.645
_cell_length_b 7.645
_cell_length_c 7.645
_cell_angle_alpha 90.00
_cell_angle_beta 90.00
_cell_angle_gamma 90.00
loop_
_atom_site_label
_atom_site_type_symbol
_atom_site_fract_x
_atom_site_fract_y
_atom_site_fract_z
Er1 Er 0.000 0.000 0.000
Pu1 Pu 0.250 0.250 0.250
Re1 Re 0.125 0.125 0.625
# * energy of formation from the pure elements: -0.091 eV per atom


no.,spin magnetization (μB/f.u.),mass density (g/cm3),calculated total energy (eV/atom)
1,0.0,8.7,-4.86
2,0.1,7.2,-2.74
3,9.1,5.8,-5.01
4,0.0,8.5,-4.23
5,7.9,6.8,-6.39
6,0.0,8.5,-8.45
7,0.0,7.0,-5.17
8,0.0,7.9,-5.83
9,5.0,4.4,-3.76
10,0.5,7.1,-6.30
11,6.1,17.2,-11.54